(1)
Density functional theory data (GGA-PBE) for LaTc2Hg after structural relaxation.

Output
mass density	11.23	g/cm3
calculated formation energy	543	meV/atom
space-group type	P4/mmm (123)
total energy	-5.9473	eV per atom

a = 4.4458 Å, b = 4.4430 Å, c = 4.0071 Å
α = 90.00°, β = 90.00°, γ = 90.00°
Last column: magnetic moment on the atom in μB.
Fractional positions:
Hg: 0.5000 0.0000 0.5000  -0.01
La: 0.0000 0.5000 0.5000  0.01
Tc: 0.0000 0.0000 0.0000  0.71
Tc: 0.5000 0.5000 0.0000  0.71

(2)
Density functional theory data (GGA-PBE) for LaTcHg3 after structural relaxation.

Output
mass density	9.92	g/cm3
calculated formation energy	271	meV/atom
space-group type	Pm-3m (221)
total energy	-2.9692	eV per atom
relative energy among the computed polymorphs	0.0	meV per atom

a = 5.1971 Å, b = 5.1971 Å, c = 5.1971 Å
α = 90.00°, β = 90.00°, γ = 90.00°
Fractional positions:
Tc: 0.0000 0.0000 0.0000
Hg: 0.0000 0.5000 0.0000
Hg: 0.0000 0.0000 0.5000
Hg: 0.5000 0.0000 0.0000
La: 0.5000 0.5000 0.5000

(3)
Density functional theory data (GGA-PBE) for LaTc2Hg after structural relaxation.

Output
mass density	11.07	g/cm3
calculated formation energy	519	meV/atom
space-group type	I-4m2 (119)
total energy	-5.9715	eV per atom

a = 5.0707 Å, b = 5.0707 Å, c = 5.0707 Å
α = 127.13°, β = 127.13°, γ = 78.03°
Fractional positions:
Hg: 0.5000 0.5000 0.0000
La: 0.7500 0.2500 0.5000
Tc: 0.0000 0.0000 0.0000
Tc: 0.2500 0.7500 0.5000

(4)
Density functional theory data (GGA-PBE) for LaTc2Hg after structural relaxation.

Output
mass density	10.22	g/cm3
calculated formation energy	325	meV/atom
space-group type	Imm2 (44)
total energy	-6.1650	eV per atom

a = 5.6282 Å, b = 5.6282 Å, c = 4.8721 Å
α = 64.40°, β = 64.40°, γ = 39.38°
Fractional positions:
Hg: 0.5162 0.5162 0.4835
La: 0.7338 0.7338 0.7663
Tc: 0.9543 0.9543 0.0455
Tc: 0.2957 0.2957 0.2047

(5)
Density functional theory data (GGA-PBE) for LaTc2Hg after structural relaxation.

Output
mass density	10.25	g/cm3
calculated formation energy	558	meV/atom
space-group type	P4/mmm (123)
total energy	-5.9325	eV per atom

a = 3.6423 Å, b = 3.6423 Å, c = 6.5382 Å
α = 90.00°, β = 90.00°, γ = 90.00°
Fractional positions:
Hg: 0.5000 0.5000 0.2500
La: 0.5000 0.5000 0.7500
Tc: 0.0000 0.0000 0.0678
Tc: 0.0000 0.0000 0.4322

(6)
Density functional theory data (GGA-PBE) for La6TcHg3 after structural relaxation.

Output
mass density	8.46	g/cm3
calculated formation energy	-285	meV/atom
space-group type	P2_1/m (11)
total energy	-4.3687	eV per atom

a = 5.7915 Å, b = 9.2293 Å, c = 11.7051 Å
α = 105.91°, β = 90.00°, γ = 90.00°
Fractional positions:
La: 0.2500 0.5036 0.0935
La: 0.7500 0.4964 0.9065
La: 0.2500 0.1135 0.1602
La: 0.7500 0.8865 0.8398
La: 0.2500 0.6919 0.6619
La: 0.7500 0.3081 0.3381
La: 0.2500 0.2323 0.5257
La: 0.7500 0.7677 0.4743
La: 0.2500 0.8638 0.3726
La: 0.7500 0.1362 0.6274
La: 0.2500 0.1115 0.8522
La: 0.7500 0.8885 0.1478
Tc: 0.2500 0.9534 0.6350
Tc: 0.7500 0.0466 0.3650
Hg: 0.2500 0.4960 0.3669
Hg: 0.7500 0.5040 0.6331
Hg: 0.2500 0.4323 0.7943
Hg: 0.7500 0.5677 0.2057
Hg: 0.2500 0.7846 0.9657
Hg: 0.7500 0.2154 0.0343

(7)
Density functional theory data (GGA-PBE) for La2YTcHg after structural relaxation.

Output
mass density	6.95	g/cm3
calculated formation energy	-69	meV/atom
space-group type	P4/mmm (123)
total energy	-5.4659	eV per atom

a = 5.3719 Å, b = 5.3719 Å, c = 5.5077 Å
α = 90.00°, β = 90.00°, γ = 90.00°
Fractional positions:
Tc: 0.0000 0.0000 0.0000
Y: 0.0000 0.0000 0.5000
Hg: 0.5000 0.5000 0.5000
La: 0.0000 0.5000 0.0000
La: 0.5000 0.0000 0.0000

(8)
Density functional theory data (GGA-PBE) for LaYTcHg2 after structural relaxation.

Output
mass density	8.40	g/cm3
calculated formation energy	181	meV/atom
space-group type	P4/mmm (123)
total energy	-4.2916	eV per atom

a = 5.3904 Å, b = 4.9471 Å, c = 5.3904 Å
α = 90.00°, β = 90.00°, γ = 90.00°
Fractional positions:
Tc: 0.0000 0.0000 0.0000
Y: 0.0000 0.5000 0.0000
Hg: 0.0000 0.0000 0.5000
Hg: 0.5000 0.0000 0.0000
La: 0.5000 0.5000 0.5000

(9)
Density functional theory data (GGA-PBE) for La2ZnTcHg after structural relaxation.

Output
mass density	7.40	g/cm3
calculated formation energy	-107	meV/atom
space-group type	P4/mmm (123)
total energy	-4.4668	eV per atom

a = 5.3535 Å, b = 5.3535 Å, c = 5.0217 Å
α = 90.00°, β = 90.00°, γ = 90.00°
Fractional positions:
Tc: 0.0000 0.0000 0.0000
Zn: 0.0000 0.0000 0.5000
Hg: 0.5000 0.5000 0.5000
La: 0.0000 0.5000 0.0000
La: 0.5000 0.0000 0.0000

(10)
Density functional theory data (GGA-PBE) for LaZrTcHg2 after structural relaxation.

Output
mass density	8.08	g/cm3
calculated formation energy	1258	meV/atom
space-group type	P4/mmm (123)
total energy	-3.6312	eV per atom

a = 5.6443 Å, b = 4.7024 Å, c = 5.6443 Å
α = 90.00°, β = 90.00°, γ = 90.00°
Last column: magnetic moment on the atom in μB.
Fractional positions:
Tc: 0.0000 0.5000 0.0000  0.16
Hg: 0.0000 0.0000 0.5000  0.00
Hg: 0.5000 0.0000 0.0000  0.00
Zr: 0.5000 0.5000 0.5000  0.03
La: 0.0000 0.0000 0.0000  -0.01

(11)
Density functional theory data (GGA-PBE) for LaHg2Te after structural relaxation.

Output
mass density	9.40	g/cm3
E_form (uncorrected)	-0.8419	eV per atom
space-group type	P2_1/m (11)
total energy	-3.0100	eV per atom

a = 4.5014 Å, b = 4.5485 Å, c = 11.7521 Å
α = 101.22°, β = 90.00°, γ = 90.00°
Fractional positions:
La: 0.7500 0.8366 0.6711
La: 0.2500 0.1634 0.3289
Hg: 0.7500 0.4467 0.8910
Hg: 0.2500 0.5533 0.1090
Hg: 0.2500 0.9480 0.8941
Hg: 0.7500 0.0520 0.1059
Te: 0.2500 0.3087 0.6159
Te: 0.7500 0.6913 0.3841

(12)
Density functional theory data (GGA-PBE) for LaHg2Te2 after structural relaxation.

Output
mass density	8.38	g/cm3
E_form (uncorrected)	-0.4602	eV per atom
space-group type	P4/mbm (127)
total energy	-2.8231	eV per atom
relative energy among the computed polymorphs	216.0	meV per atom

a = 8.2457 Å, b = 8.2457 Å, c = 4.6338 Å
α = 90.00°, β = 90.00°, γ = 90.00°
Fractional positions:
Te: 0.3584 0.8584 0.0000
Te: 0.8584 0.6416 0.0000
Te: 0.6416 0.1416 0.0000
Te: 0.1416 0.3584 0.0000
Hg: 0.1693 0.6693 0.5000
Hg: 0.6693 0.8307 0.5000
Hg: 0.8307 0.3307 0.5000
Hg: 0.3307 0.1693 0.5000
La: 0.0000 0.0000 0.0000
La: 0.5000 0.5000 0.0000

(13)
Density functional theory data (GGA-PBE) for La5HgTe8 after structural relaxation.

Output
mass density	6.93	g/cm3
E_form (uncorrected)	-1.4114	eV per atom
space-group type	I-4 (82)
total energy	-4.9880	eV per atom

a = 8.4180 Å, b = 8.4180 Å, c = 8.4180 Å
α = 109.76°, β = 108.89°, γ = 109.76°
Fractional positions:
La: 0.0129 0.3800 0.1352
La: 0.8648 0.8777 0.2448
La: 0.7552 0.6200 0.6329
La: 0.5000 0.0000 0.5000
La: 0.3671 0.1223 0.9871
Hg: 0.2500 0.5000 0.7500
Te: 0.1366 0.7594 0.0337
Te: 0.9663 0.1029 0.7257
Te: 0.7561 0.2389 0.3554
Te: 0.6446 0.4007 0.8835
Te: 0.4828 0.5993 0.2439
Te: 0.6228 0.8971 0.8634
Te: 0.2743 0.2406 0.3772
Te: 0.1165 0.7611 0.5172

(14)
Density functional theory data (GGA-PBE) for LaHgTe after structural relaxation.

Output
mass density	7.82	g/cm3
E_form (uncorrected)	-0.9701	eV per atom
space-group type	R-3m (166)
total energy	-3.7604	eV per atom
relative energy among the computed polymorphs	0.0	meV per atom

a = 5.1847 Å, b = 5.1847 Å, c = 9.0335 Å
α = 73.32°, β = 73.32°, γ = 60.00°
Fractional positions:
Te: 0.2880 0.2880 0.1360
Te: 0.7120 0.7120 0.8640
Hg: 0.1628 0.1628 0.5116
Hg: 0.8372 0.8372 0.4884
La: 0.4204 0.4204 0.7389
La: 0.5796 0.5796 0.2611

(15)
Density functional theory data (GGA-PBE) for La2HgTe after structural relaxation.

Output
mass density	8.40	g/cm3
E_form (uncorrected)	-0.8485	eV per atom
space-group type	I4/mmm (139)
total energy	-4.1731	eV per atom
relative energy among the computed polymorphs	162.6	meV per atom

a = 5.7352 Å, b = 5.7352 Å, c = 5.7352 Å
α = 125.79°, β = 125.79°, γ = 80.24°
Fractional positions:
Hg: 0.7500 0.2500 0.5000
La: 0.0000 0.0000 0.0000
La: 0.5000 0.5000 0.0000
Te: 0.2500 0.7500 0.5000

(16)
Density functional theory data (GGA-PBE) for La2HgTe after structural relaxation.

Output
mass density	8.42	g/cm3
E_form (uncorrected)	-0.9255	eV per atom
space-group type	Cmmm (65)
total energy	-4.2501	eV per atom
relative energy among the computed polymorphs	85.6	meV per atom

a = 5.5678 Å, b = 5.5678 Å, c = 3.9047 Å
α = 90.00°, β = 90.00°, γ = 99.08°
Fractional positions:
Hg: 0.0000 0.5000 0.5000
La: 0.0000 0.0000 0.0000
La: 0.5000 0.5000 0.0000
Te: 0.5000 0.0000 0.5000

(17)
Density functional theory data (GGA-PBE) for La2Hg2Te after structural relaxation.

Output
mass density	8.74	g/cm3
E_form (uncorrected)	-0.6330	eV per atom
space-group type	P4/mbm (127)
total energy	-3.3530	eV per atom
relative energy among the computed polymorphs	62.3	meV per atom

a = 8.6083 Å, b = 8.6083 Å, c = 4.1346 Å
α = 90.00°, β = 90.00°, γ = 90.00°
Fractional positions:
Te: 0.0000 0.0000 0.0000
Te: 0.5000 0.5000 0.0000
Hg: 0.3772 0.8772 0.0000
Hg: 0.8772 0.6228 0.0000
Hg: 0.6228 0.1228 0.0000
Hg: 0.1228 0.3772 0.0000
La: 0.1763 0.6763 0.5000
La: 0.6763 0.8237 0.5000
La: 0.8237 0.3237 0.5000
La: 0.3237 0.1763 0.5000

(18)
Density functional theory data (GGA-PBE) for LaHg2Te after structural relaxation.

Output
mass density	8.95	g/cm3
E_form (uncorrected)	-0.5732	eV per atom
space-group type	I-42d (122)
total energy	-2.7414	eV per atom

a = 8.8381 Å, b = 8.8381 Å, c = 7.0087 Å
α = 50.91°, β = 50.91°, γ = 90.00°
Fractional positions:
Te: 0.5000 0.5000 0.0000
Te: 0.2500 0.7500 0.5000
Hg: 0.6172 0.1250 0.2500
Hg: 0.1328 0.6250 0.2500
Hg: 0.3750 0.3828 0.7500
Hg: 0.8750 0.8672 0.7500
La: 0.0000 0.0000 0.0000
La: 0.7500 0.2500 0.5000

(19)
Density functional theory data (GGA-PBE) for La3Hg5Te12 after structural relaxation.

Output
mass density	6.75	g/cm3
E_form (uncorrected)	-0.4996	eV per atom
space-group type	Ia-3d (230)
total energy	-3.1991	eV per atom

a = 15.5638 Å, b = 15.5638 Å, c = 15.5638 Å
α = 109.47°, β = 109.47°, γ = 109.47°
Fractional positions:
La: 0.7500 0.3750 0.1250
La: 0.8750 0.7500 0.1250
La: 0.3750 0.7500 0.6250
La: 0.2500 0.1250 0.3750
La: 0.8750 0.1250 0.2500
La: 0.3750 0.6250 0.2500
La: 0.6250 0.3750 0.7500
La: 0.1250 0.8750 0.7500
La: 0.7500 0.8750 0.6250
La: 0.6250 0.2500 0.3750
La: 0.1250 0.2500 0.8750
La: 0.2500 0.6250 0.8750
Hg: 0.1250 0.3750 0.2500
Hg: 0.0000 0.5000 0.0000
Hg: 0.0000 0.0000 0.0000
Hg: 0.3750 0.2500 0.1250
Hg: 0.5000 0.0000 0.5000
Hg: 0.5000 0.5000 0.0000
Hg: 0.1250 0.7500 0.3750
Hg: 0.7500 0.1250 0.8750
Hg: 0.7500 0.6250 0.3750
Hg: 0.3750 0.1250 0.7500
Hg: 0.6250 0.8750 0.2500
Hg: 0.5000 0.5000 0.5000
Hg: 0.5000 0.0000 0.0000
Hg: 0.0000 0.0000 0.5000
Hg: 0.2500 0.3750 0.6250
Hg: 0.2500 0.8750 0.1250
Hg: 0.0000 0.5000 0.5000
Hg: 0.8750 0.2500 0.6250
Hg: 0.6250 0.7500 0.8750
Hg: 0.8750 0.6250 0.7500
Te: 0.7221 0.1352 0.0495
Te: 0.3274 0.5495 0.4143
Te: 0.9505 0.3648 0.2779
Te: 0.5495 0.2221 0.1352
Te: 0.5869 0.7221 0.6726
Te: 0.9505 0.5857 0.1726
Te: 0.3274 0.7779 0.4131
Te: 0.0857 0.9131 0.1352
Te: 0.5857 0.9505 0.6726
Te: 0.7221 0.5869 0.1726
Te: 0.7779 0.4505 0.3648
Te: 0.8274 0.9143 0.0495
Te: 0.1352 0.7221 0.5495
Te: 0.3648 0.4143 0.0869
Te: 0.0869 0.9143 0.3648
Te: 0.4131 0.1352 0.5857
Te: 0.0869 0.1726 0.2221
Te: 0.4505 0.6726 0.0857
Te: 0.8274 0.9131 0.2779
Te: 0.1352 0.4131 0.0857
Te: 0.3648 0.9505 0.7779
Te: 0.5857 0.6352 0.4131
Te: 0.9143 0.8274 0.5495
Te: 0.7779 0.3274 0.9131
Te: 0.4143 0.3648 0.5869
Te: 0.0857 0.1726 0.4505
Te: 0.2221 0.6726 0.0869
Te: 0.1726 0.0869 0.7221
Te: 0.6352 0.0495 0.2221
Te: 0.8648 0.5869 0.9143
Te: 0.5495 0.3274 0.9143
Te: 0.5869 0.8648 0.4143
Te: 0.9131 0.8274 0.7779
Te: 0.9131 0.0857 0.6352
Te: 0.8648 0.2779 0.4505
Te: 0.1726 0.0857 0.9505
Te: 0.6352 0.5857 0.9131
Te: 0.4143 0.0495 0.3274
Te: 0.2779 0.4131 0.8274
Te: 0.2221 0.5495 0.6352
Te: 0.9143 0.0869 0.8648
Te: 0.6726 0.2221 0.5869
Te: 0.4505 0.7779 0.8648
Te: 0.0495 0.4143 0.8274
Te: 0.4131 0.2779 0.3274
Te: 0.0495 0.6352 0.7221
Te: 0.6726 0.4505 0.5857
Te: 0.2779 0.8648 0.9505

(20)
Density functional theory data (GGA-PBE) for La2HgTe2 after structural relaxation.

Output
mass density	5.84	g/cm3
E_form (uncorrected)	-0.8919	eV per atom
space-group type	I4/mmm (139)
total energy	-4.1799	eV per atom
relative energy among the computed polymorphs	285.4	meV per atom

a = 5.6775 Å, b = 5.6775 Å, c = 7.6170 Å
α = 68.12°, β = 68.12°, γ = 90.00°
Fractional positions:
Te: 0.3561 0.3561 0.2879
Te: 0.6439 0.6439 0.7121
Hg: 0.0000 0.0000 0.0000
La: 0.7500 0.2500 0.5000
La: 0.2500 0.7500 0.5000

(21)
Density functional theory data (GGA-PBE) for LaHgTe after structural relaxation.

Output
mass density	7.25	g/cm3
E_form (uncorrected)	-0.6645	eV per atom
space-group type	F-43m (216)
total energy	-3.4548	eV per atom
relative energy among the computed polymorphs	305.5	meV per atom

a = 5.3282 Å, b = 5.3282 Å, c = 5.3282 Å
α = 60.00°, β = 60.00°, γ = 60.00°
Fractional positions:
Hg: 0.0000 0.0000 0.0000
La: 0.5000 0.5000 0.5000
Te: 0.7500 0.7500 0.7500

(22)
Density functional theory data (GGA-PBE) for La2HgTe after structural relaxation.

Output
mass density	7.47	g/cm3
E_form (uncorrected)	-0.7184	eV per atom
space-group type	I-42d (122)
total energy	-4.0430	eV per atom
relative energy among the computed polymorphs	292.7	meV per atom

a = 8.5481 Å, b = 8.5481 Å, c = 7.0807 Å
α = 52.87°, β = 52.87°, γ = 90.00°
Fractional positions:
Te: 0.5000 0.5000 0.0000
Te: 0.2500 0.7500 0.5000
Hg: 0.0000 0.0000 0.0000
Hg: 0.7500 0.2500 0.5000
La: 0.6279 0.1250 0.2500
La: 0.1221 0.6250 0.2500
La: 0.3750 0.3721 0.7500
La: 0.8750 0.8779 0.7500